# 1
# Li2CuTeO4

A geometry-optimized Li2CuTeO4 structure (PBE, the Alexandria database).

Cell lengths 4.5856, 4.6194, 5.8419 Å; angles 114.45, 116.12, 92.34 degrees
Last column: nearest neighbours and their distance in Å.
Sites, in units of the cell vectors:
O (0.0671, 0.0548, 0.6892)  1 Te 1.94, 2 Li 2.03-2.05, 1 Cu 2.08
O (0.8767, 0.3961, 0.2334)  1 Te 1.97, 2 Li 2.02-2.04, 1 Cu 2.03
Cu (0.0219, 0.4786, 0.9793)  4 O 2.03-2.11
Te (0.6658, 0.6827, 0.4330)  4 O 1.94-2.00
Li (0.2207, 0.2321, 0.4803)  4 O 1.99-2.06
Li (0.4863, 0.9809, 0.9603)  4 O 1.98-2.03
O (0.4028, 0.9323, 0.2496)  1 Te 1.98, 2 Li 1.98-1.99, 1 Cu 2.11
O (0.6459, 0.6295, 0.7490)  2 Li 1.98-2.06, 1 Te 2.00, 1 Cu 2.03

The uncorrected formation energy is -933 kJ/mol of formula units. For the calculated density, the calculation gives 4.59 g/cm3. For the total energy, the calculation gives -40.565 eV/cell. The value obtained for the density of states at the Fermi level is 3.84 states/eV/f.u. Its space-group type is P1 (1). The total magnetization comes out at 0.00 μB/atom.

# 2
# Mg3Br

A geometry-optimized Mg3Br structure (PBE, the Alexandria database).

Cell lengths 3.5691, 3.5691, 8.9063 Å; angles 90.00, 90.00, 120.00 degrees
Last column: nearest neighbours and their distance in Å.
Sites, in units of the cell vectors:
Mg (0.6667, 0.3333, 0.7572)  3 Br 2.99, 3 Mg 3.08
Mg (0.0000, 0.0000, 0.5000)  6 Mg 3.08
Br (0.0000, 0.0000, 0.0000)  6 Mg 2.99
Mg (0.6667, 0.3333, 0.2428)  3 Br 2.99, 3 Mg 3.08

For the energy above the lowest structure with this stoichiometry, the calculation gives 25 meV per atom. The uncorrected formation energy is -114 kJ/mol of formula units. For the calculated density, the calculation gives 2.58 g/cm3. For the total energy, the calculation gives -7.636 eV/cell. The value obtained for the density of states at the Fermi level is 2.05 states/eV/f.u. Its space-group type is P-6m2 (187). The total magnetization comes out at 0.00 μB/atom.

# 3
# MnPt2Au

A geometry-optimized MnPt2Au structure (PBE, the Alexandria database).

Cell lengths 4.7404, 4.7404, 2.9718 Å; angles 90.00, 90.00, 106.10 degrees
Last column: nearest neighbours and their distance in Å.
Sites, in units of the cell vectors:
Mn (0.0000, 0.5000, 0.5000)  8 Pt 2.80, 2 Au 2.85, 2 Mn 2.97
Pt (0.0000, 0.0000, 0.0000)  4 Mn 2.80, 4 Au 2.80, 4 Pt 2.85-2.97
Au (0.5000, 0.0000, 0.5000)  8 Pt 2.80, 2 Mn 2.85, 2 Au 2.97
Pt (0.5000, 0.5000, 0.0000)  4 Au 2.80, 4 Mn 2.80, 4 Pt 2.85-2.97

For the calculated density, the calculation gives 16.62 g/cm3. For the total energy, the calculation gives -25.155 eV/cell. The value obtained for the density of states at the Fermi level is 2.09 states/eV/f.u. For the formation energy, the calculation gives -0.157 eV per atom. Its space-group type is Cmmm (65). The total magnetization comes out at 1.17 μB/atom.

# 4
# TaMoS4

A geometry-optimized TaMoS4 structure (PBE, the Alexandria database).

Cell lengths 6.8925, 6.8925, 5.6847 Å; angles 81.99, 81.99, 27.54 degrees
Last column: nearest neighbours and their distance in Å.
Sites, in units of the cell vectors:
S (0.1323, 0.1323, 0.2932)  1 Mo 2.44, 2 Ta 2.46
S (0.8665, 0.8665, 0.7066)  2 Mo 2.44, 1 Ta 2.47
Mo (0.2500, 0.2500, 0.5829)  6 S 2.44
S (0.6335, 0.6335, 0.7853)  2 Mo 2.44, 1 Ta 2.47
Ta (0.7500, 0.7500, 0.0850)  6 S 2.46-2.47
S (0.3676, 0.3676, 0.2138)  1 Mo 2.44, 2 Ta 2.46

For the energy above the lowest structure with this stoichiometry, the calculation gives 0 meV per atom. The uncorrected formation energy is -552 kJ/mol of formula units. For the calculated density, the calculation gives 5.44 g/cm3. For the total energy, the calculation gives -44.910 eV/cell. The value obtained for the density of states at the Fermi level is 3.32 states/eV/f.u. Its space-group type is Cm (8). The total magnetization comes out at 0.00 μB/atom.

# 5
# LiNdTl

A geometry-optimized LiNdTl structure (PBE, the Alexandria database).

Cell lengths 3.5311, 5.0392, 5.0392 Å; angles 120.00, 90.00, 90.00 degrees
Last column: nearest neighbours and their distance in Å.
Sites, in units of the cell vectors:
Tl (0.1659, 0.0000, 0.0000)  3 Li 2.91
Li (0.1673, 0.6667, 0.3333)  3 Tl 2.91
Nd (0.6669, 0.3333, 0.6667)  6 Tl 3.40-3.41, 6 Li 3.40, 2 Nd 3.53

For the energy above the lowest structure with this stoichiometry, the calculation gives 0 meV per atom. For the calculated density, the calculation gives 7.60 g/cm3. For the total energy, the calculation gives -9.911 eV/cell. The value obtained for the density of states at the Fermi level is 2.21 states/eV/f.u. For the formation energy, the calculation gives -0.288 eV per atom. Its space-group type is P-6m2 (187). The total magnetization comes out at 0.04 μB/atom.

# 6
# Pr2Be3CuSi4

A geometry-optimized Pr2Be3CuSi4 structure (PBE, the Alexandria database).

Cell lengths 4.0338, 4.0338, 9.7473 Å; angles 90.00, 90.00, 90.00 degrees
Last column: nearest neighbours and their distance in Å.
Sites, in units of the cell vectors:
Cu (0.5000, 0.5000, 0.5000)  4 Si 2.40
Si (0.5000, 0.0000, 0.6336)  3 Be 2.33-2.40, 2 Cu 2.40
Si (0.5000, 0.5000, 0.0000)  4 Be 2.37
Be (0.0000, 0.0000, 0.5000)  4 Si 2.40
Si (0.0000, 0.0000, 0.0000)  4 Be 2.37
Be (0.5000, 0.0000, 0.8727)  5 Si 2.33-2.37
Pr (0.5000, 0.0000, 0.2480)  8 Si 3.08-3.15, 6 Be 3.09-3.18, 2 Cu 3.18
Si (0.0000, 0.5000, 0.3664)  3 Be 2.33-2.40, 2 Cu 2.40
Pr (0.0000, 0.5000, 0.7520)  8 Si 3.08-3.15, 6 Be 3.09-3.18, 2 Cu 3.18
Be (0.0000, 0.5000, 0.1273)  5 Si 2.33-2.37

The uncorrected formation energy is -389 kJ/mol of formula units. For the calculated density, the calculation gives 5.08 g/cm3. For the total energy, the calculation gives -50.561 eV/cell. The value obtained for the density of states at the Fermi level is 2.79 states/eV/f.u. Its space-group type is P-4m2 (115). The total magnetization comes out at 0.00 μB/atom.

# 7
# Hf4OsRh3

A geometry-optimized Hf4OsRh3 structure (PBE, the Alexandria database).

Cell lengths 3.2482, 3.2482, 13.1934 Å; angles 90.00, 90.00, 90.00 degrees
Last column: nearest neighbours and their distance in Å.
Sites, in units of the cell vectors:
Hf (0.0000, 0.0000, 0.6250)  8 Rh 2.83
Rh (0.5000, 0.5000, 0.5000)  8 Hf 2.83
Rh (0.5000, 0.5000, 0.2499)  8 Hf 2.83
Hf (0.0000, 0.0000, 0.3750)  8 Rh 2.83
Os (0.5000, 0.5000, 0.0000)  8 Hf 2.82
Hf (0.0000, 0.0000, 0.8757)  4 Os 2.82, 4 Rh 2.83
Hf (0.0000, 0.0000, 0.1243)  4 Os 2.82, 4 Rh 2.83
Rh (0.5000, 0.5000, 0.7501)  8 Hf 2.83

For the calculated density, the calculation gives 14.47 g/cm3. For the total energy, the calculation gives -79.755 eV/cell. The value obtained for the density of states at the Fermi level is 4.51 states/eV/f.u. For the formation energy, the calculation gives -0.832 eV per atom. Its space-group type is P4/mmm (123). The total magnetization comes out at 0.00 μB/atom.

# 8
# CrRe2Te

A geometry-optimized CrRe2Te structure (PBE, the Alexandria database).

Cell lengths 4.8982, 4.8982, 4.6870 Å; angles 81.84, 81.84, 35.61 degrees
Last column: nearest neighbours and their distance in Å.
Sites, in units of the cell vectors:
Re (0.9759, 0.9759, 0.0347)  2 Re 2.61, 1 Te 2.66, 3 Cr 2.66-2.88
Te (0.7500, 0.7500, 0.7500)  2 Re 2.66, 4 Cr 2.78
Cr (0.2500, 0.2500, 0.2500)  6 Re 2.66-2.88, 4 Te 2.78
Re (0.5241, 0.5241, 0.4653)  2 Re 2.61, 1 Te 2.66, 3 Cr 2.66-2.88

The uncorrected formation energy is 209 kJ/mol of formula units. For the calculated density, the calculation gives 14.16 g/cm3. For the total energy, the calculation gives -35.492 eV/cell. The value obtained for the density of states at the Fermi level is 2.90 states/eV/f.u. Its space-group type is C2/m (12). The total magnetization comes out at 0.35 μB/atom.

# 9
# LiGaSi

A geometry-optimized LiGaSi structure (PBE, the Alexandria database).

Cell lengths 6.7456, 3.7255, 7.6065 Å; angles 90.00, 90.00, 90.00 degrees
Last column: nearest neighbours and their distance in Å.
Sites, in units of the cell vectors:
Li (0.8893, 0.7500, 0.5733)  4 Si 2.46-2.73, 2 Li 2.64
Si (0.2919, 0.7500, 0.6149)  4 Li 2.46-2.73, 3 Ga 2.56-2.72
Ga (0.5811, 0.2500, 0.7024)  5 Si 2.56-2.78, 3 Li 2.83-2.84
Ga (0.0811, 0.2500, 0.7976)  5 Si 2.56-2.78, 3 Li 2.83-2.84
Li (0.1107, 0.2500, 0.4267)  4 Si 2.46-2.73, 2 Li 2.64
Li (0.3893, 0.7500, 0.9267)  4 Si 2.46-2.73, 2 Li 2.64
Ga (0.4189, 0.7500, 0.2976)  5 Si 2.56-2.78, 3 Li 2.83-2.84
Ga (0.9189, 0.7500, 0.2024)  5 Si 2.56-2.78, 3 Li 2.83-2.84
Si (0.7081, 0.2500, 0.3851)  4 Li 2.46-2.73, 3 Ga 2.56-2.72
Li (0.6107, 0.2500, 0.0733)  4 Si 2.46-2.73, 2 Li 2.64
Si (0.2081, 0.2500, 0.1149)  4 Li 2.46-2.73, 3 Ga 2.56-2.72
Si (0.7919, 0.7500, 0.8851)  4 Li 2.46-2.73, 3 Ga 2.56-2.72

The uncorrected formation energy is -6 kJ/mol of formula units. For the calculated density, the calculation gives 3.64 g/cm3. For the total energy, the calculation gives -41.696 eV/cell. The value obtained for the density of states at the Fermi level is 0.99 states/eV/f.u. Its space-group type is Pnma (62). The total magnetization comes out at 0.00 μB/atom.

# 10
# Cu4Au3

A geometry-optimized Cu4Au3 structure (PBE, the Alexandria database).

Cell lengths 2.6690, 11.4911, 11.4911 Å; angles 120.00, 90.00, 90.00 degrees
Last column: nearest neighbours and their distance in Å.
Sites, in units of the cell vectors:
Cu (0.2500, 0.1478, 0.6912)  4 Au 2.51-2.65, 4 Cu 2.65-2.67
Au (0.2500, 0.0822, 0.4387)  4 Cu 2.51-2.65, 2 Au 2.67
Cu (0.7500, 0.6912, 0.5434)  4 Au 2.51-2.65, 4 Cu 2.65-2.67
Cu (0.2500, 0.3088, 0.4566)  4 Au 2.51-2.65, 4 Cu 2.65-2.67
Au (0.2500, 0.5613, 0.6435)  4 Cu 2.51-2.65, 2 Au 2.67
Au (0.7500, 0.4387, 0.3565)  4 Cu 2.51-2.65, 2 Au 2.67
Cu (0.2500, 0.6667, 0.3333)  8 Cu 2.65-2.67
Cu (0.7500, 0.8522, 0.3088)  4 Au 2.51-2.65, 4 Cu 2.65-2.67
Au (0.7500, 0.6435, 0.0822)  4 Cu 2.51-2.65, 2 Au 2.67
Cu (0.7500, 0.3333, 0.6667)  8 Cu 2.65-2.67
Cu (0.7500, 0.4566, 0.1478)  4 Au 2.51-2.65, 4 Cu 2.65-2.67
Au (0.2500, 0.3565, 0.9178)  4 Cu 2.51-2.65, 2 Au 2.67
Au (0.7500, 0.9178, 0.5613)  4 Cu 2.51-2.65, 2 Au 2.67
Cu (0.2500, 0.5434, 0.8522)  4 Au 2.51-2.65, 4 Cu 2.65-2.67

For the energy above the lowest structure with this stoichiometry, the calculation gives 308 meV per atom. For the calculated density, the calculation gives 9.20 g/cm3. For the total energy, the calculation gives -48.645 eV/cell. The value obtained for the density of states at the Fermi level is 2.63 states/eV/f.u. For the formation energy, the calculation gives 0.271 eV per atom. Its space-group type is P6_3/m (176). The total magnetization comes out at 0.00 μB/atom.

# 11
# Ba2TlCuO4

A geometry-optimized Ba2TlCuO4 structure (PBE, the Alexandria database).

Cell lengths 5.7453, 5.7453, 5.7453 Å; angles 101.21, 113.75, 113.75 degrees
Last column: nearest neighbours and their distance in Å.
Sites, in units of the cell vectors:
O (0.4277, 0.8351, 0.7768)  1 Cu 2.03
Ba (0.5000, 0.7500, 0.2500)  4 O 2.75
O (0.5723, 0.3491, 0.4074)  1 Cu 2.03
Ba (0.0000, 0.0000, 0.0000)  4 O 2.64
Tl (0.5000, 0.2500, 0.7500)  4 O 2.30
O (0.9417, 0.5926, 0.1649)  1 Cu 2.03
Cu (0.0000, 0.5000, 0.5000)  4 O 2.03
O (0.0583, 0.2232, 0.6509)  1 Cu 2.03

The uncorrected formation energy is -1119 kJ/mol of formula units. For the calculated density, the calculation gives 7.01 g/cm3. For the total energy, the calculation gives -41.743 eV/cell. The value obtained for the density of states at the Fermi level is 2.72 states/eV/f.u. Its space-group type is I-4 (82). The total magnetization comes out at 0.02 μB/atom.

# 12
# CuGeF4

A geometry-optimized CuGeF4 structure (PBE, the Alexandria database).

Cell lengths 5.1741, 6.9653, 5.2741 Å; angles 90.00, 90.00, 90.00 degrees
Last column: nearest neighbours and their distance in Å.
Sites, in units of the cell vectors:
F (0.7364, 0.8513, 0.7594)  2 Cu 2.11-2.13, 1 Ge 2.19
F (0.2636, 0.1487, 0.7594)  2 Cu 2.11-2.13, 1 Ge 2.19
F (0.1965, 0.3693, 0.1989)  1 Ge 1.72
Ge (0.0000, 0.0000, 0.5000)  4 F 2.19
Cu (0.0000, 0.0000, 0.0000)  4 F 2.13
F (0.8035, 0.3693, 0.8011)  1 Ge 1.72
Cu (0.5000, 0.0000, 0.5000)  4 F 2.11
F (0.1965, 0.6307, 0.8011)  1 Ge 1.72
F (0.2636, 0.8513, 0.2406)  2 Cu 2.11-2.13, 1 Ge 2.19
F (0.7364, 0.1487, 0.2406)  2 Cu 2.11-2.13, 1 Ge 2.19
Ge (0.0000, 0.5000, 0.0000)  4 F 1.72
F (0.8035, 0.6307, 0.1989)  1 Ge 1.72

The uncorrected formation energy is -952 kJ/mol of formula units. For the calculated density, the calculation gives 3.71 g/cm3. For the total energy, the calculation gives -52.137 eV/cell. Its space-group type is P222 (16). The total magnetization comes out at 0.02 μB/atom.